# PBE Er6MnBi2, relaxed
# DOS(E_F) (states/eV/f.u.): 4.3
# Formation energy from the elements (eV/atom): -0.408
# VASP energy (Ry per atom): -0.3918
# Size of the total moment (Bohr magnetons per cell): 0.1
# ρ (g/cm3): 9.8
data_Er6MnBi2
_cell_length_a 8.2414
_cell_length_b 8.2414
_cell_length_c 4.2505
_cell_angle_alpha 90.00
_cell_angle_beta 90.00
_cell_angle_gamma 120.00
_symmetry_space_group_name_H-M 'P -6 2 m'
_symmetry_Int_Tables_number 189
_symmetry_space_group_name_Hall 'P -6 -2'
loop_
_atom_site_label
_atom_site_type_symbol
_atom_site_fract_x
_atom_site_fract_y
_atom_site_fract_z
_atom_site_occupancy
Er1 Er 0.0000 0.2326 0.0000 1
Er2 Er 0.0000 0.6105 0.5000 1
Mn1 Mn 0.0000 0.0000 0.5000 1
Bi1 Bi 0.3333 0.6667 0.0000 1

***

# PBE PmPaAsPd, relaxed
# DOS(E_F) (states/eV/f.u.): 7.2
# Formation energy from the elements (eV/atom): -0.581
# VASP energy (Ry per atom): -0.4853
# Size of the total moment (Bohr magnetons per cell): 10.7
# ρ (g/cm3): 10.0
data_PmPaAsPd
_cell_length_a 7.176
_cell_length_b 7.176
_cell_length_c 7.176
_cell_angle_alpha 90.00
_cell_angle_beta 90.00
_cell_angle_gamma 90.00
_symmetry_space_group_name_H-M 'F -4 3 m'
_symmetry_Int_Tables_number 216
_symmetry_space_group_name_Hall 'F -4 2 3'
loop_
_atom_site_label
_atom_site_type_symbol
_atom_site_fract_x
_atom_site_fract_y
_atom_site_fract_z
_atom_site_occupancy
Pm1 Pm 0.000 0.000 0.000 1
Pa1 Pa 0.000 0.000 0.500 1
As1 As 0.250 0.250 0.250 1
Pd1 Pd 0.250 0.250 0.750 1

***

# PBE ScIn2P, relaxed
# DOS(E_F) (states/eV/f.u.): 1.6
# Formation energy from the elements (eV/atom): -0.397
# VASP energy (Ry per atom): -0.3455
# Size of the total moment (Bohr magnetons per cell): 0.0
# ρ (g/cm3): 5.6
data_ScIn2P
_cell_length_a 9.191
_cell_length_b 3.821
_cell_length_c 5.491
_cell_angle_alpha 90.00
_cell_angle_beta 110.48
_cell_angle_gamma 90.00
_symmetry_space_group_name_H-M 'C 1 m 1'
_symmetry_Int_Tables_number 8
_symmetry_space_group_name_Hall 'C -2y'
loop_
_atom_site_label
_atom_site_type_symbol
_atom_site_fract_x
_atom_site_fract_y
_atom_site_fract_z
_atom_site_occupancy
Sc1 Sc 0.000 0.000 0.000 1
In1 In 0.090 0.500 0.636 1
In2 In 0.311 0.500 0.379 1
P1 P 0.292 0.000 0.022 1